VASP calculation (GGA-PBE) on a relaxed structure of Ba2IrOs.

Cell: 4.8385 4.8385 9.0151 Å, 90.00 90.00 90.00°
Closest atoms and distances in Å follow each position.
Space group I4/mmm (No. 139)
Symmetry-distinct sites (fractional):
Ba 0.0000 0.5000 0.2500  4 Os 3.31, 4 Ir 3.31, 4 Ba 3.42
Ir 0.0000 0.0000 0.0000  8 Ba 3.31, 4 Os 3.42
Os 0.0000 0.0000 0.5000  8 Ba 3.31, 4 Ir 3.42

Summary:
* calculated formation energy: 4.0 eV per formula unit
* DOS at the Fermi energy: 6.5 states/eV/f.u.
* magnetization: 2.740 μB/cell
* energy above the lowest structure with this stoichiometry: 0.944 eV per atom



VASP calculation (GGA-PBE) on a relaxed structure of Ba2IrOs.

Cell: 9.9752 3.3870 6.2143 Å, 90.00 99.51 90.00°
Closest atoms and distances in Å follow each position.
Space group C2/m (No. 12)
Symmetry-distinct sites (fractional):
Ba 0.2489 0.0000 0.2511  3 Ir 3.13-3.20, 3 Os 3.16-3.19, 2 Ba 3.39
Ir 0.0000 0.0000 0.5000  6 Ba 3.13-3.20, 2 Ir 3.39
Os 0.0000 0.5000 0.0000  6 Ba 3.16-3.19, 2 Os 3.39, 4 Ir 3.54

Summary:
* calculated formation energy: 4.8 eV per formula unit
* DOS at the Fermi energy: 3.4 states/eV/f.u.
* magnetization: 0.000 μB/cell
* energy above the lowest structure with this stoichiometry: 1.141 eV per atom